1.
ZnHg4Te: optimized geometry, GGA-PBEsol.

Computed properties:
Its calculated total energy is -5.65 eV for the cell shown. Its uncorrected formation energy is 0.29 eV/atom.

a = 5.9371 Å, b = 5.9371 Å, c = 5.9371 Å
α = 60.00°, β = 60.00°, γ = 60.00°
Closest atoms and distances in Å follow each position.
Fractional coordinates of all 6 atoms:
Zn 0.0000 0.0000 0.0000  12 Hg 3.48, 4 Te 3.64
Hg 0.1236 0.6255 0.6255  6 Hg 2.96-2.98
Hg 0.6255 0.1236 0.6255  6 Hg 2.96-2.98
Hg 0.6255 0.6255 0.1236  6 Hg 2.96-2.98
Hg 0.6255 0.6255 0.6255  6 Hg 2.96-2.98
Te 0.2500 0.2500 0.2500  12 Hg 3.48, 4 Zn 3.64



2.
ZnHg2Te: optimized geometry, GGA-PBEsol.

Computed properties:
Its calculated total energy is -22.92 eV for the cell shown. Its uncorrected formation energy is 0.13 eV/atom.

a = 7.1954 Å, b = 7.1954 Å, c = 7.1954 Å
α = 90.00°, β = 90.00°, γ = 90.00°
Closest atoms and distances in Å follow each position.
Fractional coordinates of all 16 atoms:
Zn 0.0000 0.0000 0.0000  4 Hg 3.12, 4 Te 3.12
Zn 0.0000 0.5000 0.5000  4 Hg 3.12, 4 Te 3.12
Zn 0.5000 0.0000 0.5000  4 Hg 3.12, 4 Te 3.12
Zn 0.5000 0.5000 0.0000  4 Hg 3.12, 4 Te 3.12
Hg 0.0000 0.0000 0.5000  4 Hg 3.12, 4 Te 3.12
Hg 0.0000 0.5000 0.0000  4 Hg 3.12, 4 Te 3.12
Hg 0.2500 0.2500 0.7500  4 Hg 3.12, 4 Zn 3.12
Hg 0.2500 0.7500 0.2500  4 Hg 3.12, 4 Zn 3.12
Hg 0.5000 0.0000 0.0000  4 Hg 3.12, 4 Te 3.12
Hg 0.5000 0.5000 0.5000  4 Hg 3.12, 4 Te 3.12
Hg 0.7500 0.2500 0.2500  4 Hg 3.12, 4 Zn 3.12
Hg 0.7500 0.7500 0.7500  4 Hg 3.12, 4 Zn 3.12
Te 0.2500 0.2500 0.2500  4 Hg 3.12, 4 Zn 3.12
Te 0.2500 0.7500 0.7500  4 Hg 3.12, 4 Zn 3.12
Te 0.7500 0.2500 0.7500  4 Hg 3.12, 4 Zn 3.12
Te 0.7500 0.7500 0.2500  4 Hg 3.12, 4 Zn 3.12